The following is a GGA+U calculation of crystalline UCo2HO6 at its relaxed geometry, from the Alexandria database.

Calculated values
E: -72.21 eV for the cell shown

Unit cell a=5.3553 b=5.2771 c=5.4386 alpha=82.55 beta=66.65 gamma=57.60
Closest atoms and distances in Å follow each position.
Atoms (fractional coordinates):
U 0.3329 0.3482 0.9901  5 O 1.97-2.13
Co 0.4861 0.7301 0.3713  4 O 1.96-2.04
Co 0.9882 0.0216 0.9953  6 O 1.92-1.97
H 0.9052 0.4559 0.7349  1 O 0.98
O 0.5791 0.3591 0.2114  2 Co 1.92-1.97, 1 U 2.13
O 0.2070 0.0448 0.2011  2 Co 1.97, 1 U 2.10
O 0.9037 0.7245 0.2106  2 Co 1.97-2.04, 1 U 2.05
O 0.3882 0.6805 0.7562  2 Co 1.95-1.96, 1 U 2.11
O 0.7735 0.0139 0.7882  1 Co 1.92, 1 U 1.97
O 0.0976 0.2829 0.7561  1 H 0.98

The following is a GGA+U calculation of crystalline VCoH2O at its relaxed geometry, from the Alexandria database.

Calculated values
E: -24.45 eV for the cell shown

Unit cell a=3.4888 b=3.4888 c=3.8326 alpha=90.00 beta=90.00 gamma=90.00
Closest atoms and distances in Å follow each position.
Atoms (fractional coordinates):
H 0.0000 0.5000 0.0000  2 V 1.74
H 0.5000 0.0000 0.0000  2 V 1.74
Co 0.5000 0.5000 0.5000  4 O 2.47, 8 H 2.59
O 0.0000 0.0000 0.5000  2 V 1.92
V 0.0000 0.0000 0.0000  4 H 1.74, 2 O 1.92

The following is a GGA+U calculation of crystalline CoHWO2 at its relaxed geometry, from the Alexandria database.

Calculated values
E: -27.95 eV for the cell shown

Unit cell a=4.0623 b=3.5872 c=4.0623 alpha=90.00 beta=90.00 gamma=90.00
Closest atoms and distances in Å follow each position.
Atoms (fractional coordinates):
H 0.0000 0.5000 0.0000  2 W 1.79
Co 0.5000 0.5000 0.5000  8 O 2.71, 4 H 2.87
O 0.0000 0.0000 0.5000  2 W 2.03
O 0.5000 0.0000 0.0000  2 W 2.03
W 0.0000 0.0000 0.0000  2 H 1.79

The following is a GGA+U calculation of crystalline ZrCoH2O at its relaxed geometry, from the Alexandria database.

Calculated values
E: -23.24 eV for the cell shown

Unit cell a=3.9592 b=3.3767 c=3.9592 alpha=90.00 beta=90.00 gamma=90.00
Closest atoms and distances in Å follow each position.
Atoms (fractional coordinates):
H 0.0000 0.0000 0.5000  2 O 1.98
H 0.5000 0.0000 0.0000  2 O 1.98
Co 0.0000 0.5000 0.0000  2 O 1.69
O 0.0000 0.0000 0.0000  2 Co 1.69
Zr 0.5000 0.5000 0.5000  8 H 2.60, 4 Co 2.80